! CuSi2Au, relaxed, DFT PBE; values from VASP
! **Crystal system**: cubic
! **Mass density**: 8.374 g cm⁻³
&SYSTEM
  ibrav = 0, nat = 4, ntyp = 3
/
ATOMIC_SPECIES
Cu 63.55 Cu.upf
Si 28.09 Si.upf
Au 196.97 Au.upf
CELL_PARAMETERS angstrom
0.000 3.155 3.155
3.155 0.000 3.155
3.155 3.155 0.000
ATOMIC_POSITIONS crystal
Cu 0.000 0.000 0.000
Si 0.250 0.250 0.250
Si 0.750 0.750 0.750
Au 0.500 0.500 0.500



! CuSiAu4, relaxed, DFT PBE; values from VASP
! **Crystal system**: cubic
! **Mass density**: 12.656 g cm⁻³
&SYSTEM
  ibrav = 0, nat = 6, ntyp = 3
/
ATOMIC_SPECIES
Cu 63.55 Cu.upf
Si 28.09 Si.upf
Au 196.97 Au.upf
CELL_PARAMETERS angstrom
0.000 3.864 3.864
3.864 0.000 3.864
3.864 3.864 0.000
ATOMIC_POSITIONS crystal
Cu 0.000 0.000 0.000
Si 0.750 0.750 0.750
Au 0.375 0.375 0.375
Au 0.375 0.375 0.875
Au 0.375 0.875 0.375
Au 0.875 0.375 0.375



! CuSi2Au, relaxed, DFT PBE; values from VASP
! **Crystal system**: orthorhombic
! **Mass density**: 8.562 g cm⁻³
&SYSTEM
  ibrav = 0, nat = 4, ntyp = 3
/
ATOMIC_SPECIES
Cu 63.55 Cu.upf
Si 28.09 Si.upf
Au 196.97 Au.upf
CELL_PARAMETERS angstrom
3.074 0.000 0.000
0.000 3.767 0.000
0.000 0.000 5.303
ATOMIC_POSITIONS crystal
Cu 0.000 0.000 0.000
Si 0.500 0.500 0.233
Si 0.500 0.500 0.767
Au 0.000 0.000 0.500



! CuSi2Au, relaxed, DFT PBE; values from VASP
! **Crystal system**: tetragonal
! **Mass density**: 8.705 g cm⁻³
&SYSTEM
  ibrav = 0, nat = 4, ntyp = 3
/
ATOMIC_SPECIES
Cu 63.55 Cu.upf
Si 28.09 Si.upf
Au 196.97 Au.upf
CELL_PARAMETERS angstrom
-1.959 1.959 3.935
1.959 -1.959 3.935
1.959 1.959 -3.935
ATOMIC_POSITIONS crystal
Cu 0.000 0.000 0.000
Si 0.250 0.750 0.500
Si 0.500 0.500 0.000
Au 0.750 0.250 0.500



E_tot list, top to bottom, in eV per cell: -16.770; -20.057; -17.067; -17.116
Raw formation energy list, top to bottom, in eV/atom: 0.362; 0.429; 0.288; 0.276